HoNbMoO6: relaxed, GGA+U.

Geometry as POSCAR:
```
HoNbMoO6
1.0
-3.162 1.490 -4.144
3.559 -4.042 -0.623
-6.251 -5.912 2.644
Ho Nb Mo O
2 2 2 12
Direct
0.333 0.667 0.250
0.667 0.333 0.750
0.667 0.333 0.250
0.333 0.667 0.750
0.000 0.000 0.000
0.000 0.000 0.500
0.695 0.659 0.127
0.964 0.305 0.127
0.305 0.964 0.627
0.036 0.695 0.873
0.341 0.305 0.373
0.964 0.659 0.373
0.659 0.964 0.873
0.695 0.036 0.373
0.036 0.341 0.627
0.341 0.036 0.127
0.659 0.695 0.627
0.305 0.341 0.873
```

## Properties
space group	P-31c (163)
energy	-73.65	eV per formula unit
theoretical density	6.52	g cm⁻³
calculated volume	229.1	Å³ per cell